[1]
DFT (GGA-PBE) results for MgCd2In5 after structural relaxation.

Calculated values
Total moment (μB per formula unit): 0.000
Energy relative to the elements (eV per atom): 0.03
D(E_F) (states/eV/cell): 5.68
Space-group type: I4/mcm (140)

Cell lengths 8.117, 8.117, 8.518 Å; angles 118.46, 118.46, 90.00 degrees
Fractional coordinates of all 16 atoms:
In 0.000 0.000 0.000
In 0.500 0.500 0.000
In 0.008 0.508 0.325
In 0.816 0.008 0.325
In 0.508 0.316 0.325
In 0.492 0.684 0.675
In 0.184 0.992 0.675
In 0.992 0.492 0.675
In 0.316 0.816 0.325
In 0.684 0.184 0.675
Mg 0.750 0.750 0.500
Mg 0.250 0.250 0.500
Cd 0.640 0.140 0.000
Cd 0.360 0.860 0.000
Cd 0.860 0.640 0.000
Cd 0.140 0.360 0.000


[2]
DFT (GGA-PBE) results for Mg6CdIn2 after structural relaxation.

Calculated values
Total moment (μB per formula unit): 0.000
Energy relative to the elements (eV per atom): -0.05
D(E_F) (states/eV/cell): 2.30
Space-group type: C2/m (12)

Cell lengths 5.245, 4.971, 9.344 Å; angles 95.43, 90.00, 121.84 degrees
Fractional coordinates of all 9 atoms:
Mg 0.668 0.336 0.605
Mg 0.001 0.003 0.169
Mg 0.332 0.664 0.395
Mg 0.668 0.336 0.944
Mg 0.999 0.997 0.831
Mg 0.332 0.664 0.056
In 0.665 0.329 0.269
In 0.335 0.671 0.731
Cd 0.000 0.000 0.500


[3]
DFT (GGA-PBE) results for MgCdIn after structural relaxation.

Calculated values
Total moment (μB per formula unit): 0.000
Energy relative to the elements (eV per atom): -0.05
D(E_F) (states/eV/cell): 1.24
Space-group type: I4mm (107)

Cell lengths 7.085, 7.085, 7.085 Å; angles 153.69, 153.69, 37.55 degrees
Fractional coordinates of all 3 atoms:
Cd 0.008 0.008 0.000
Mg 0.662 0.662 0.000
In 0.331 0.331 0.000